The following is a DFT calculation (GGA-PBE) of crystalline KNaTa2Sb at its relaxed geometry.

As for the formation energy (no corrections): 2.06 eV per atom. The distance to the lowest polymorph of the same formula comes out at 0.0000 eV/atom.

The structure belongs to space group P4/mmm (No. 123); the cell edges are 5.062, 5.062 and 5.378 Å and the angles 90.00°, 90.00° and 90.00°. The inequivalent atoms are K at (0.000, 0.000, 0.000), Na at (0.500, 0.500, 0.500), Ta at (0.000, 0.500, 0.500) and Sb at (0.500, 0.500, 0.000).